[1]
A plane-wave DFT calculation with PBE was carried out for a geometry-optimized LaNd2CuSn3Ir2 structure.

Crystal system: orthorhombic
Volume (Å³/cell): 206
Density (g cm⁻³): 9.93
E_tot (eV per atom): -6.01
Magnetization (μB per atom): 0.000

extended XYZ file:
```
9
Lattice="4.1286 0.0000 0.0000 0.0000 6.5557 3.8026 0.0000 -6.5557 3.8026" Properties=species:S:1:pos:R:3 pbc="T T T"
La 0.0000 0.0000 0.0000
Nd 0.0000 -2.6844 4.6973
Nd 0.0000 2.6844 4.6973
Cu 0.0000 0.0000 3.1553
Sn 2.0643 -1.6872 2.1944
Sn 2.0643 1.6872 2.1944
Sn 2.0643 0.0000 5.0490
Ir 2.0643 -4.3909 3.1644
Ir 2.0643 4.3909 3.1644
```

***

[2]
A plane-wave DFT calculation with PBE was carried out for a geometry-optimized ErGa2Si2 structure.

Crystal system: tetragonal
Volume (Å³/cell): 189
Density (g cm⁻³): 6.39
E_tot (eV per atom): -4.40
Magnetization (μB per atom): 0.000

extended XYZ file:
```
10
Lattice="4.6012 0.0000 0.0000 0.0000 4.6012 0.0000 0.0000 0.0000 8.9047" Properties=species:S:1:pos:R:3 pbc="T T T"
Er 0.0000 0.0000 0.0000
Er 2.3006 2.3006 4.4523
Ga 0.0000 0.0000 3.2339
Ga 0.0000 0.0000 5.6708
Ga 2.3006 2.3006 1.2184
Ga 2.3006 2.3006 7.6862
Si 0.0000 2.3006 2.2262
Si 0.0000 2.3006 6.6785
Si 2.3006 0.0000 2.2262
Si 2.3006 0.0000 6.6785
```

***

[3]
A plane-wave DFT calculation with PBE was carried out for a geometry-optimized Sc4CuSnN2 structure.

Crystal system: hexagonal
Volume (Å³/cell): 128
Density (g cm⁻³): 5.07
E_tot (eV per atom): -7.31
Magnetization (μB per atom): 0.019

extended XYZ file:
```
8
Lattice="3.2516 0.0000 0.0000 -1.6258 2.8160 0.0000 0.0000 0.0000 13.9431" Properties=species:S:1:pos:R:3 pbc="T T T"
Sc 0.0000 0.0000 2.0504
Sc 0.0000 0.0000 11.8927
Sc 0.0000 1.8773 4.5050
Sc 0.0000 1.8773 9.4381
Cu 0.0000 1.8773 0.0000
Sn 0.0000 0.0000 6.9716
N 1.6258 0.9387 3.3720
N 1.6258 0.9387 10.5711
```

***

[4]
A plane-wave DFT calculation with PBE was carried out for a geometry-optimized LiRe3Sb5 structure.

Crystal system: hexagonal
Volume (Å³/cell): 223
Density (g cm⁻³): 8.74
E_tot (eV per atom): -6.26
Magnetization (μB per atom): 0.008

extended XYZ file:
```
9
Lattice="5.5356 0.0000 0.0000 -2.7678 4.7940 0.0000 0.0000 0.0000 8.4056" Properties=species:S:1:pos:R:3 pbc="T T T"
Li 0.0000 0.0000 0.0000
Re -1.3839 2.3970 4.2028
Re 2.7678 0.0000 4.2028
Re 1.3839 2.3970 4.2028
Sb 0.0000 0.0000 4.2028
Sb 0.0000 3.1960 1.8600
Sb 0.0000 3.1960 6.5456
Sb 2.7678 1.5980 1.8600
Sb 2.7678 1.5980 6.5456
```

***

[5]
A plane-wave DFT calculation with PBE was carried out for a geometry-optimized Y2NiN structure.

Offset from the most stable computed form (eV per formula unit): 0.05
Crystal system: hexagonal
Volume (Å³/cell): 143
Density (g cm⁻³): 5.83
Magnetization (μB per atom): 0.006

extended XYZ file:
```
8
Lattice="3.5078 0.0000 0.0000 -1.7539 3.0379 0.0000 0.0000 0.0000 13.3831" Properties=species:S:1:pos:R:3 pbc="T T T"
Y 0.0000 2.0253 1.3840
Y 0.0000 2.0253 5.3075
Y 1.7539 1.0126 8.0756
Y 1.7539 1.0126 11.9991
Ni 0.0000 2.0253 10.0373
Ni 1.7539 1.0126 3.3458
N 0.0000 0.0000 0.0000
N 0.0000 0.0000 6.6916
```

***

[6]
A plane-wave DFT calculation with PBE was carried out for a geometry-optimized Hf2BeAs structure.

Offset from the most stable computed form (eV per formula unit): 0.00
Crystal system: monoclinic
Volume (Å³/cell): 131
Density (g cm⁻³): 11.15
Magnetization (μB per atom): 0.000

extended XYZ file:
```
8
Lattice="5.2398 0.0000 0.0000 0.0000 3.5880 0.0000 -2.5618 0.0000 6.9853" Properties=species:S:1:pos:R:3 pbc="T T T"
Hf 0.0373 0.8970 2.9365
Hf 1.2131 2.6910 0.4859
Hf 1.4649 0.8970 6.4993
Hf 2.6407 2.6910 4.0488
Be -1.3170 0.8970 5.4975
Be 3.9950 2.6910 1.4878
As 0.0312 2.6910 5.0047
As 2.6468 0.8970 1.9805
```

***

[7]
A plane-wave DFT calculation with PBE was carried out for a geometry-optimized CuNi2 structure.

Crystal system: cubic
Volume (Å³/cell): 248
Density (g cm⁻³): 2.42
Formation enthalpy at 0 K (eV/atom): 2.300
Magnetization (μB per atom): 0.340

extended XYZ file:
```
6
Lattice="0.0000 4.9881 4.9881 4.9881 0.0000 4.9881 4.9881 4.9881 0.0000" Properties=species:S:1:pos:R:3 pbc="T T T"
Cu 1.2470 1.2470 1.2470
Cu 8.7292 8.7292 8.7292
Ni 0.0000 0.0000 0.0000
Ni 2.4941 2.4941 0.0000
Ni 2.4941 0.0000 2.4941
Ni 0.0000 2.4941 2.4941
```

***

[8]
A plane-wave DFT calculation with PBE was carried out for a geometry-optimized YZnCoSn structure.

Offset from the most stable computed form (eV per formula unit): 0.00
Crystal system: cubic
Volume (Å³/cell): 289
Density (g cm⁻³): 7.63
Magnetization (μB per atom): 0.050

extended XYZ file:
```
16
Lattice="6.6125 0.0000 0.0000 0.0000 6.6125 0.0000 0.0000 0.0000 6.6125" Properties=species:S:1:pos:R:3 pbc="T T T"
Y 0.0000 0.0000 0.0000
Y 0.0000 3.3063 3.3063
Y 3.3063 0.0000 3.3063
Y 3.3063 3.3063 0.0000
Zn 1.6531 1.6531 1.6531
Zn 1.6531 4.9594 4.9594
Zn 4.9594 1.6531 4.9594
Zn 4.9594 4.9594 1.6531
Co 1.6531 1.6531 4.9594
Co 1.6531 4.9594 1.6531
Co 4.9594 1.6531 1.6531
Co 4.9594 4.9594 4.9594
Sn 0.0000 0.0000 3.3063
Sn 0.0000 3.3063 0.0000
Sn 3.3063 0.0000 0.0000
Sn 3.3063 3.3063 3.3063
```

***

[9]
A plane-wave DFT calculation with PBE was carried out for a geometry-optimized RbLaSm structure.

Crystal system: cubic
Volume (Å³/cell): 650
Density (g cm⁻³): 3.83
E_tot (eV per atom): -2.39
Magnetization (μB per atom): 1.092

extended XYZ file:
```
12
Lattice="8.6633 0.0000 0.0000 0.0000 8.6633 0.0000 0.0000 0.0000 8.6633" Properties=species:S:1:pos:R:3 pbc="T T T"
Rb 0.0000 0.0000 0.0000
Rb 0.0000 4.3316 4.3316
Rb 4.3316 0.0000 4.3316
Rb 4.3316 4.3316 0.0000
La 0.0000 0.0000 4.3316
La 0.0000 4.3316 0.0000
La 4.3316 0.0000 0.0000
La 4.3316 4.3316 4.3316
Sm 2.1658 2.1658 6.4975
Sm 2.1658 6.4975 2.1658
Sm 6.4975 2.1658 2.1658
Sm 6.4975 6.4975 6.4975
```

***

[10]
A plane-wave DFT calculation with PBE was carried out for a geometry-optimized HoZr2 structure.

Crystal system: orthorhombic
Volume (Å³/cell): 305
Density (g cm⁻³): 7.56
Formation enthalpy at 0 K (eV/atom): 0.046
Magnetization (μB per atom): 0.000

extended XYZ file:
```
12
Lattice="5.2632 0.0000 0.0000 0.0000 10.0064 0.0000 0.0000 0.0000 5.7980" Properties=species:S:1:pos:R:3 pbc="T T T"
Ho 1.3158 0.8529 0.5133
Ho 1.3158 4.1504 0.5133
Ho 3.9474 5.8561 5.2847
Ho 3.9474 9.1536 5.2847
Zr 1.3158 2.5016 3.4128
Zr 1.3158 5.9059 3.3046
Zr 1.3158 7.5048 0.5782
Zr 1.3158 9.1037 3.3046
Zr 3.9474 0.9027 2.4935
Zr 3.9474 2.5016 5.2198
Zr 3.9474 4.1005 2.4935
Zr 3.9474 7.5048 2.3852
```

***

[11]
A plane-wave DFT calculation with PBE was carried out for a geometry-optimized YCoTcSn structure.

Offset from the most stable computed form (eV per formula unit): 1.35
Crystal system: cubic
Volume (Å³/cell): 303
Density (g cm⁻³): 8.00
Magnetization (μB per atom): 0.937

extended XYZ file:
```
16
Lattice="6.7153 0.0000 0.0000 0.0000 6.7153 0.0000 0.0000 0.0000 6.7153" Properties=species:S:1:pos:R:3 pbc="T T T"
Y 0.0000 0.0000 0.0000
Y 0.0000 3.3576 3.3576
Y 3.3576 0.0000 3.3576
Y 3.3576 3.3576 0.0000
Co 0.0000 0.0000 3.3576
Co 0.0000 3.3576 0.0000
Co 3.3576 0.0000 0.0000
Co 3.3576 3.3576 3.3576
Tc 1.6788 1.6788 5.0365
Tc 1.6788 5.0365 1.6788
Tc 5.0365 1.6788 1.6788
Tc 5.0365 5.0365 5.0365
Sn 1.6788 1.6788 1.6788
Sn 1.6788 5.0365 5.0365
Sn 5.0365 1.6788 5.0365
Sn 5.0365 5.0365 1.6788
```

***

[12]
A plane-wave DFT calculation with PBE was carried out for a geometry-optimized MgInTe3Au structure.

Crystal system: orthorhombic
Volume (Å³/cell): 331
Density (g cm⁻³): 7.22
E_tot (eV per atom): -3.07

extended XYZ file:
```
12
Lattice="2.0191 -6.8651 0.0000 2.0191 6.8651 0.0000 0.0000 0.0000 11.9258" Properties=species:S:1:pos:R:3 pbc="T T T"
Mg 2.0191 4.2493 8.9443
Mg 2.0191 -4.2493 2.9814
In 0.0000 0.0000 0.0000
In 0.0000 0.0000 5.9629
Te 2.0191 5.3395 2.9814
Te 2.0191 2.1264 0.7692
Te 2.0191 2.1264 5.1937
Te 2.0191 -2.1264 6.7321
Te 2.0191 -2.1264 11.1566
Te 2.0191 -5.3395 8.9443
Au 2.0191 0.4147 2.9814
Au 2.0191 -0.4147 8.9443
```